No. 1
Density functional theory data (PBE) for crystalline Sm7Y2Tm4 at its relaxed geometry.

Unit cell a=7.9897 b=8.7522 c=8.0012 alpha=68.56 beta=107.50 gamma=68.68
Element x y z (fractional)
Sm: 0.9223 0.4603 0.6920
Sm: 0.0777 0.5397 0.3080
Sm: 0.0000 0.0000 0.0000
Sm: 0.6900 0.8475 0.7662
Sm: 0.3100 0.1525 0.2338
Sm: 0.5377 0.7702 0.1551
Sm: 0.4623 0.2298 0.8449
Y: 0.7692 0.3840 0.0793
Y: 0.2308 0.6160 0.9207
Tm: 0.1517 0.0764 0.6148
Tm: 0.8483 0.9236 0.3852
Tm: 0.6169 0.3074 0.4610
Tm: 0.3831 0.6926 0.5390

## Properties
Energy relative to the elements (eV/atom): 0.021
M_tot (μB per formula unit): 0.0

No. 2
Density functional theory data (PBE) for crystalline Ca2ZnCl at its relaxed geometry.

Unit cell a=5.4931 b=5.4931 c=5.4931 alpha=125.38 beta=125.38 gamma=80.91
Element x y z (fractional)
Zn: 0.7500 0.2500 0.5000
Ca: 0.0000 0.0000 0.0000
Ca: 0.5000 0.5000 0.0000
Cl: 0.2500 0.7500 0.5000

## Properties
Formation energy (no corrections) (kcal/mol of atoms): -13.5
M_tot (μB per formula unit): 0.0

No. 3
Density functional theory data (PBE) for crystalline Na3Sm2TiS6 at its relaxed geometry.

Unit cell a=6.7996 b=6.7996 c=7.0660 alpha=99.25 beta=99.25 gamma=119.90
Element x y z (fractional)
Na: 0.1679 0.8321 0.5000
Na: 0.8321 0.1679 0.5000
Na: 0.5000 0.5000 0.5000
Sm: 0.3322 0.6678 0.0000
Sm: 0.6678 0.3322 0.0000
Ti: 0.0000 0.0000 0.0000
S: 0.9237 0.6153 0.7745
S: 0.7684 0.7684 0.2192
S: 0.0763 0.3847 0.2255
S: 0.6153 0.9237 0.7745
S: 0.2316 0.2316 0.7808
S: 0.3847 0.0763 0.2255

## Properties
Formation energy (no corrections) (kcal/mol of atoms): -37.1
M_tot (μB per formula unit): 1.0

No. 4
Density functional theory data (PBE) for crystalline BaSn6Hg6 at its relaxed geometry.

Unit cell a=6.5718 b=8.2285 c=8.2285 alpha=78.75 beta=66.46 gamma=66.46
Element x y z (fractional)
Ba: 0.0000 0.0000 0.0000
Sn: 0.0000 0.5000 0.0000
Sn: 0.5000 0.5000 0.0000
Sn: 0.0000 0.0000 0.5000
Sn: 0.5000 0.0000 0.5000
Sn: 0.5000 0.7593 0.2407
Sn: 0.5000 0.2407 0.7593
Hg: 0.3495 0.6505 0.6505
Hg: 0.6505 0.3495 0.3495
Hg: 0.0000 0.3600 0.6400
Hg: 0.0000 0.6400 0.3600
Hg: 0.3109 0.1891 0.1891
Hg: 0.6891 0.8109 0.8109

## Properties
Energy relative to the elements (eV/atom): -0.081
M_tot (μB per formula unit): 0.0

No. 5
Density functional theory data (PBE) for crystalline BaThI2 at its relaxed geometry.

Unit cell a=4.0264 b=4.0264 c=12.0071 alpha=80.35 beta=80.35 gamma=60.00
Element x y z (fractional)
I: 0.1018 0.1018 0.6947
I: 0.8982 0.8982 0.3053
Ba: 0.0000 0.0000 0.0000
Th: 0.5000 0.5000 0.5000

## Properties
Formation energy (no corrections) (kcal/mol of atoms): -16.9
M_tot (μB per formula unit): 0.0

No. 6
Density functional theory data (PBE) for crystalline PaCrSbRu at its relaxed geometry.

Unit cell a=4.6889 b=4.6889 c=4.6889 alpha=60.00 beta=60.00 gamma=60.00
Element x y z (fractional)
Sb: 0.2500 0.2500 0.2500
Pa: 0.7500 0.7500 0.7500
Cr: 0.5000 0.5000 0.5000
Ru: 0.0000 0.0000 0.0000

## Properties
Formation energy (no corrections) (kcal/mol of atoms): -1.9
M_tot (μB per formula unit): 0.0